Nd2Zn3InPt4 (PBE, optimized geometry); spin magnetization = 0.000 μB/atom; ΔH_f (0 K) = -0.753 eV/atom; Fermi-level density of states = 0.501 states/eV per atom
1.0
-3.8480 1.6947 -0.4001
-0.3503 -1.7039 -3.8488
-4.5169 -9.1978 4.4830
Pt Zn In Nd
4 3 1 2
Cartesian
-2.0991 -0.0046 -2.1244 Pt
-4.8637 -5.1388 2.7176 Pt
-1.7523 -4.0635 -0.3591 Pt
0.0000 0.0000 0.0000 Pt
-5.8652 -7.1781 3.7115 Zn
-2.2585 -4.5989 2.2415 Zn
-0.7509 -2.0243 -1.3530 Zn
-4.3576 -4.6035 0.1171 In
-3.6270 -7.8810 1.5015 Nd
-2.9890 -1.3214 0.8570 Nd